Record 1
VASP calculation (PBE-GGA) on a geometry-optimized CdPdPt5 structure.

```
7
Lattice="-2.628 1.810 -2.297 -2.295 -3.191 0.111 -3.620 2.826 6.369" Properties=species:S:1:pos:R:3 pbc="T T T"
Pt -3.800 0.476 4.723
Pt -2.281 1.660 0.553
Pt -2.462 -0.690 -1.093
Pt -3.967 2.976 3.519
Pt -2.115 -0.840 1.757
Pd -1.810 1.413 3.185
Cd 0.000 0.000 0.000
```

Summary:
As for the calculated volume: 121 Å³/f.u. The magnetization is 0.0 μB per formula unit. As for the space group: P4/mmm. The total energy comes out at -5.1097 eV/atom. The relative energy among the computed polymorphs comes out at 0.00 eV per formula unit. The formation energy is 0.078 eV per atom. The density comes out at 16.34 g/cm³.

***

Record 2
VASP calculation (PBE-GGA) on a geometry-optimized Cd2Pd3Pt7 structure.

```
12
Lattice="-0.996 1.608 2.049 -3.617 -2.866 0.491 8.414 -8.114 10.454" Properties=species:S:1:pos:R:3 pbc="T T T"
Pd -2.306 -0.629 1.270
Pd 2.529 -7.273 6.935
Pd 2.269 -3.708 4.011
Pt 3.084 -4.260 6.737
Pt 0.718 -5.113 6.258
Pt 6.064 -7.848 9.103
Pt 3.598 -8.287 10.146
Pt -1.266 -3.133 1.843
Pt 0.204 -1.086 2.849
Pt 0.000 0.000 0.000
Cd 4.457 -5.675 8.515
Cd -0.655 -3.698 4.480
```

Summary:
As for the calculated volume: 203 Å³/f.u. The magnetization is 0.0 μB per formula unit. As for the space group: P2/m. The total energy comes out at -4.9905 eV/atom. The formation energy is -0.016 eV per atom. The density comes out at 15.63 g/cm³.

***

Record 3
VASP calculation (PBE-GGA) on a geometry-optimized CdPd5Pt6 structure.

```
12
Lattice="-3.283 2.055 0.823 -2.332 -6.176 -3.422 2.645 -2.234 6.582" Properties=species:S:1:pos:R:3 pbc="T T T"
Pd -3.962 -2.811 0.725
Pd 0.991 -3.544 3.258
Pd -1.485 -3.177 1.991
Pd -3.154 -4.499 -1.363
Pd 0.183 -1.855 5.346
Pt -0.565 -5.750 2.547
Pt -1.591 -2.274 -0.671
Pt -1.380 -4.080 4.653
Pt 0.082 -0.949 2.692
Pt -3.053 -5.406 1.291
Pt -2.406 -0.605 1.436
Cd 0.000 0.000 0.000
```

Summary:
As for the calculated volume: 189 Å³/f.u. The magnetization is 0.0 μB per formula unit. As for the space group: Immm. The total energy comes out at -5.3573 eV/atom. The formation energy is -0.097 eV per atom. The density comes out at 15.93 g/cm³.

***

Record 4
VASP calculation (PBE-GGA) on a geometry-optimized Cd7Pd12Pt structure.

```
20
Lattice="6.977 0.763 1.145 -1.207 6.914 1.145 -1.207 -1.606 6.822" Properties=species:S:1:pos:R:3 pbc="T T T"
Pd 2.482 4.404 2.311
Pd 2.080 1.667 6.801
Pd 3.540 0.743 4.221
Pd -0.307 4.740 2.633
Pd 4.833 3.565 4.158
Pd 4.870 1.331 6.480
Pd 0.665 -0.127 5.388
Pd 3.897 6.198 3.724
Pd 1.023 5.328 4.891
Pd 4.638 2.035 1.958
Pd -0.076 4.036 7.154
Pd -0.271 2.506 4.955
Pt 0.000 0.000 0.000
Cd 3.889 3.315 8.260
Cd 5.014 5.501 6.241
Cd 0.673 2.755 0.852
Cd 2.281 3.035 4.556
Cd 2.460 0.242 1.632
Cd 2.103 5.829 7.480
Cd -0.451 0.570 2.871
```

Summary:
As for the calculated volume: 359 Å³/f.u. The magnetization is 0.0 μB per formula unit. As for the space group: R-3. The total energy comes out at -3.9247 eV/atom. The formation energy is -0.187 eV per atom. The density comes out at 10.45 g/cm³.

***

Record 5
VASP calculation (PBE-GGA) on a geometry-optimized CdPd2Pt6 structure.

```
18
Lattice="3.985 0.000 0.000 0.000 8.480 0.000 0.001 0.000 8.480" Properties=species:S:1:pos:R:3 pbc="T T T"
Pt 0.001 5.708 7.011
Pt 1.993 1.398 0.056
Pt 1.993 4.183 2.842
Pt 0.000 5.638 4.183
Pt 1.993 4.296 5.638
Pt 1.993 1.468 5.708
Pt 3.986 2.842 4.296
Pt 1.993 7.011 2.772
Pt 1.993 7.082 8.423
Pt 3.985 2.771 1.468
Pt 3.985 8.423 1.398
Pt 0.001 0.057 7.082
Cd 0.000 0.000 4.240
Cd 1.993 4.240 0.000
Pd 1.993 7.101 5.619
Pd 0.000 5.619 1.379
Pd 1.993 1.379 2.860
Pd 3.986 2.861 7.100
```

Summary:
As for the calculated volume: 143 Å³/f.u. The magnetization is 0.0 μB per formula unit. As for the space group: P4_2/mnm. The total energy comes out at -5.4084 eV/atom. The relative energy among the computed polymorphs comes out at 0.00 eV per formula unit. The formation energy is -0.126 eV per atom. The density comes out at 17.33 g/cm³.

***

Record 6
VASP calculation (PBE-GGA) on a geometry-optimized CdPd2Pt8 structure.

```
11
Lattice="5.563 0.531 0.441 0.920 6.613 2.003 0.920 3.179 6.135" Properties=species:S:1:pos:R:3 pbc="T T T"
Pt 2.942 5.142 6.021
Pt 5.428 6.024 5.007
Pt 4.462 5.180 2.558
Pt 0.628 2.529 2.102
Pt 1.976 4.298 3.573
Pt 2.942 6.860 3.954
Pt 6.776 7.793 6.477
Pt 4.462 3.462 4.625
Cd 0.000 0.000 0.000
Pd 3.850 7.822 6.501
Pd 3.554 2.500 2.078
```

Summary:
As for the calculated volume: 187 Å³/f.u. The magnetization is 0.0 μB per formula unit. As for the space group: C2/m. The total energy comes out at -5.3813 eV/atom. The relative energy among the computed polymorphs comes out at 0.53 eV per formula unit. The formation energy is 0.039 eV per atom. The density comes out at 16.76 g/cm³.

***

Record 7
VASP calculation (PBE-GGA) on a geometry-optimized CdPd6Pt8 structure.

```
15
Lattice="-1.817 1.849 -0.885 -5.026 -0.625 9.016 7.608 6.899 -1.212" Properties=species:S:1:pos:R:3 pbc="T T T"
Pd 1.762 4.461 -0.337
Pd -2.970 0.793 5.316
Pd -0.997 3.662 7.257
Pd -0.047 2.791 3.485
Pd 3.735 7.329 1.605
Pd 0.811 5.332 3.435
Pt -0.347 3.328 0.794
Pt 1.112 4.795 6.126
Pt 1.941 7.410 4.623
Pt -3.413 1.193 7.895
Pt 4.178 6.929 -0.975
Pt -2.239 3.332 4.914
Pt -1.177 0.712 2.297
Pt 3.004 4.791 2.007
Cd -0.909 0.924 -0.442
```

Summary:
As for the calculated volume: 254 Å³/f.u. The magnetization is 0.0 μB per formula unit. As for the space group: P-3. The total energy comes out at -5.1925 eV/atom. The relative energy among the computed polymorphs comes out at 1.58 eV per formula unit. The formation energy is 0.167 eV per atom. The density comes out at 15.13 g/cm³.

***

Record 8
VASP calculation (PBE-GGA) on a geometry-optimized CdPdPt2 structure.

```
8
Lattice="4.091 0.000 0.000 0.000 5.712 -0.602 0.000 0.477 5.589" Properties=species:S:1:pos:R:3 pbc="T T T"
Pt 1.023 5.073 0.174
Pt 1.023 5.330 2.928
Pt 3.068 1.116 4.814
Pt 3.068 0.859 2.059
Pd 1.023 2.414 3.306
Pd 3.068 3.775 1.681
Cd 3.068 4.004 4.438
Cd 1.023 2.185 0.549
```

Summary:
As for the calculated volume: 66 Å³/f.u. The magnetization is 0.0 μB per formula unit. As for the space group: P2_1/m. The total energy comes out at -4.7476 eV/atom. The formation energy is -0.200 eV per atom. The density comes out at 15.35 g/cm³.